(A)
Computed, not measured: TbDyMg4 after structural relaxation at the PBE level of DFT.

The structure in extended XYZ format:
```
6
Lattice="6.037 0.000 0.000 3.018 5.228 0.000 3.018 1.743 4.929" Properties=species:S:1:pos:R:3 pbc="T T T"
Mg 6.037 3.485 0.616
Mg 6.037 1.743 3.081
Mg 7.546 4.356 3.081
Mg 4.527 4.356 3.081
Tb 0.000 0.000 0.000
Dy 3.018 1.743 1.232
```

Total magnetic moment in μB per cell: 0.0
N(E_F) in states/eV/cell: 7.19
Space group: F-43m (216)

=====

(B)
Computed, not measured: TbDyMg4 after structural relaxation at the PBE level of DFT.

The structure in extended XYZ format:
```
6
Lattice="-1.655 -2.044 -2.233 -0.686 -6.140 3.463 -6.711 4.866 -2.145" Properties=species:S:1:pos:R:3 pbc="T T T"
Tb 0.000 0.000 0.000
Dy -4.526 -1.659 -0.458
Mg -7.340 -0.626 -1.983
Mg -3.506 -5.110 1.944
Mg -1.712 -2.692 1.068
Mg -5.547 1.791 -2.860
```

Total magnetic moment in μB per cell: 0.0
N(E_F) in states/eV/cell: 6.75
Space group: C2/m (12)

=====

Question: of the structures shown, which is the most stable? Reply: (A).